Entry 1:
The following is a DFT calculation (PBE-GGA) of crystalline IrWSeN2 at its relaxed geometry.

Computed properties:
Uncorrected formation energy = 1.384 eV per atom
Magnetization = 3.5 Bohr magnetons per cell
Volume = 21.69 Å³/atom
DFT total energy = -7.0062 eV per atom
Distance to the lowest polymorph of the same formula = 441 meV per atom

abc: 3.7053 3.7053 7.8990
angles: 90.00 90.00 90.00
Last column: nearest neighbours and their distance in Å.
Space group P4/mmm (No. 123)
Asymmetric unit:
Ir: 0.0000 0.0000 0.0000 x1  4 N 1.85
W: 0.5000 0.5000 0.5000 x1  4 Se 2.62
Se: 0.0000 0.0000 0.5000 x1  4 W 2.62
N: 0.0000 0.5000 0.0000 x2  2 Ir 1.85


Entry 2:
The following is a DFT calculation (PBE-GGA) of crystalline IrWSeN2 at its relaxed geometry.

Computed properties:
Uncorrected formation energy = 0.942 eV per atom
Magnetization = 1.2 Bohr magnetons per cell
Volume = 16.12 Å³/atom
DFT total energy = -7.4475 eV per atom
Distance to the lowest polymorph of the same formula = 0 meV per atom

abc: 3.8431 3.8431 5.4569
angles: 90.00 90.00 90.00
Last column: nearest neighbours and their distance in Å.
Space group P4/mmm (No. 123)
Asymmetric unit:
Ir: 0.0000 0.0000 0.0000 x1  4 Se 2.72
W: 0.5000 0.5000 0.5000 x1  4 N 1.92
Se: 0.5000 0.5000 0.0000 x1  4 Ir 2.72, 2 W 2.73
N: 0.0000 0.5000 0.5000 x2  2 W 1.92


Entry 3:
The following is a DFT calculation (PBE-GGA) of crystalline YIrSeN2 at its relaxed geometry.

Computed properties:
Uncorrected formation energy = 0.108 eV per atom
Magnetization = 0.0 Bohr magnetons per cell
Volume = 16.17 Å³/atom
DFT total energy = -6.9837 eV per atom
Distance to the lowest polymorph of the same formula = 0 meV per atom

abc: 3.9322 3.9322 5.2288
angles: 90.00 90.00 90.00
Last column: nearest neighbours and their distance in Å.
Space group P4/mmm (No. 123)
Asymmetric unit:
Y: 0.0000 0.0000 0.0000 x1  4 Se 2.78
Ir: 0.5000 0.5000 0.5000 x1  4 N 1.97
Se: 0.5000 0.5000 0.0000 x1  2 Ir 2.61, 4 Y 2.78
N: 0.0000 0.5000 0.5000 x2  2 Ir 1.97


Entry 4:
The following is a DFT calculation (PBE-GGA) of crystalline YIrSe2N at its relaxed geometry.

Computed properties:
Uncorrected formation energy = 1.060 eV per atom
Magnetization = 2.9 Bohr magnetons per cell
Volume = 24.82 Å³/atom
DFT total energy = -5.0635 eV per atom
Distance to the lowest polymorph of the same formula = 1490 meV per atom

abc: 5.4121 5.4121 4.2376
angles: 90.00 90.00 90.00
Last column: nearest neighbours and their distance in Å.
Space group P4/mmm (No. 123)
Asymmetric unit:
Y: 0.0000 0.0000 0.0000 x1  2 N 2.12
Ir: 0.5000 0.5000 0.5000 x1  8 Se 3.44, 4 N 3.83
Se: 0.0000 0.5000 0.0000 x2  2 Y 2.71
N: 0.0000 0.0000 0.5000 x1  2 Y 2.12


Entry 5:
The following is a DFT calculation (PBE-GGA) of crystalline YIrSe2N at its relaxed geometry.

Computed properties:
Uncorrected formation energy = -0.430 eV per atom
Magnetization = 0.0 Bohr magnetons per cell
Volume = 19.90 Å³/atom
DFT total energy = -6.5537 eV per atom
Distance to the lowest polymorph of the same formula = 0 meV per atom

abc: 5.1729 5.1729 3.7188
angles: 90.00 90.00 90.00
Last column: nearest neighbours and their distance in Å.
Space group P4/mmm (No. 123)
Asymmetric unit:
Y: 0.0000 0.0000 0.0000 x1  8 Se 3.19
Ir: 0.5000 0.5000 0.5000 x1  2 N 1.86
Se: 0.0000 0.5000 0.5000 x2  2 Ir 2.59
N: 0.5000 0.5000 0.0000 x1  2 Ir 1.86


Entry 6:
The following is a DFT calculation (PBE-GGA) of crystalline YIrSeN2 at its relaxed geometry.

Computed properties:
Uncorrected formation energy = 1.485 eV per atom
Magnetization = 5.1 Bohr magnetons per cell
Volume = 21.13 Å³/atom
DFT total energy = -5.6067 eV per atom
Distance to the lowest polymorph of the same formula = 1377 meV per atom

abc: 4.2756 4.2756 5.7793
angles: 90.00 90.00 90.00
Last column: nearest neighbours and their distance in Å.
Space group P4/mmm (No. 123)
Asymmetric unit:
Y: 0.0000 0.0000 0.0000 x1  4 N 2.14
Ir: 0.5000 0.5000 0.5000 x1  4 Se 3.02
Se: 0.0000 0.0000 0.5000 x1  2 Y 2.89, 4 Ir 3.02
N: 0.0000 0.5000 0.0000 x2  2 Y 2.14


Entry 7:
The following is a DFT calculation (PBE-GGA) of crystalline ZnIrSe2N at its relaxed geometry.

Computed properties:
Uncorrected formation energy = 0.390 eV per atom
Magnetization = 0.0 Bohr magnetons per cell
Volume = 19.55 Å³/atom
DFT total energy = -4.6955 eV per atom
Distance to the lowest polymorph of the same formula = 0 meV per atom

abc: 5.1802 5.1802 3.6420
angles: 90.00 90.00 90.00
Last column: nearest neighbours and their distance in Å.
Space group P4/mmm (No. 123)
Asymmetric unit:
Zn: 0.0000 0.0000 0.0000 x1  8 Se 3.17
Ir: 0.5000 0.5000 0.5000 x1  2 N 1.82
Se: 0.0000 0.5000 0.5000 x2  2 Ir 2.59
N: 0.5000 0.5000 0.0000 x1  2 Ir 1.82


Entry 8:
The following is a DFT calculation (PBE-GGA) of crystalline ZnIrSe2N at its relaxed geometry.

Computed properties:
Uncorrected formation energy = 1.345 eV per atom
Magnetization = 0.0 Bohr magnetons per cell
Volume = 17.22 Å³/atom
DFT total energy = -3.7407 eV per atom
Distance to the lowest polymorph of the same formula = 955 meV per atom

abc: 4.9703 4.9703 3.4859
angles: 90.00 90.00 90.00
Last column: nearest neighbours and their distance in Å.
Space group P4/mmm (No. 123)
Asymmetric unit:
Zn: 0.0000 0.0000 0.0000 x1  2 N 1.74
Ir: 0.5000 0.5000 0.5000 x1  8 Se 3.04
Se: 0.0000 0.5000 0.0000 x2  2 Zn 2.49
N: 0.0000 0.0000 0.5000 x1  2 Zn 1.74


Entry 9:
The following is a DFT calculation (PBE-GGA) of crystalline ZrIrSe2N at its relaxed geometry.

Computed properties:
Uncorrected formation energy = 0.753 eV per atom
Magnetization = 0.3 Bohr magnetons per cell
Volume = 21.46 Å³/atom
DFT total energy = -5.7879 eV per atom
Distance to the lowest polymorph of the same formula = 665 meV per atom

abc: 5.2739 5.2739 3.8580
angles: 90.00 90.00 90.00
Last column: nearest neighbours and their distance in Å.
Space group P4/mmm (No. 123)
Asymmetric unit:
Zr: 0.0000 0.0000 0.0000 x1  2 N 1.93
Ir: 0.5000 0.5000 0.5000 x1  8 Se 3.27
Se: 0.0000 0.5000 0.0000 x2  2 Zr 2.64
N: 0.0000 0.0000 0.5000 x1  2 Zr 1.93


Entry 10:
The following is a DFT calculation (PBE-GGA) of crystalline ZrIrSe2N at its relaxed geometry.

Computed properties:
Uncorrected formation energy = 0.087 eV per atom
Magnetization = 0.9 Bohr magnetons per cell
Volume = 19.24 Å³/atom
DFT total energy = -6.4534 eV per atom
Distance to the lowest polymorph of the same formula = 0 meV per atom

abc: 5.1238 5.1238 3.6636
angles: 90.00 90.00 90.00
Last column: nearest neighbours and their distance in Å.
Space group P4/mmm (No. 123)
Asymmetric unit:
Zr: 0.0000 0.0000 0.0000 x1  8 Se 3.15
Ir: 0.5000 0.5000 0.5000 x1  2 N 1.83
Se: 0.0000 0.5000 0.5000 x2  2 Ir 2.56
N: 0.5000 0.5000 0.0000 x1  2 Ir 1.83


Entry 11:
The following is a DFT calculation (PBE-GGA) of crystalline SiIrN2 at its relaxed geometry.

Computed properties:
Uncorrected formation energy = -0.061 eV per atom
Magnetization = 0.0 Bohr magnetons per cell
Volume = 10.77 Å³/atom
DFT total energy = -7.7946 eV per atom

abc: 4.5285 4.5285 8.4037
angles: 90.00 90.00 90.00
Last column: nearest neighbours and their distance in Å.
Space group I-42d (No. 122)
Asymmetric unit:
Si: 0.0000 0.0000 0.0000 x4  4 N 1.75
Ir: 0.0000 0.0000 0.5000 x4  4 N 2.11
N: 0.1814 0.2500 0.1250 x8  2 Si 1.75


Entry 12:
The following is a DFT calculation (PBE-GGA) of crystalline SiIrN2 at its relaxed geometry.

Computed properties:
Uncorrected formation energy = 0.498 eV per atom
Magnetization = 0.0 Bohr magnetons per cell
Volume = 11.67 Å³/atom
DFT total energy = -7.2360 eV per atom

abc: 3.0612 3.0612 17.2493
angles: 90.00 90.00 120.00
Last column: nearest neighbours and their distance in Å.
Space group R-3m (No. 166, hexagonal axes)
Asymmetric unit:
Si: 0.0000 0.0000 0.0000 x3  2 N 1.78
Ir: 0.0000 0.0000 0.5000 x3  6 N 2.08
N: 0.0000 0.0000 0.1034 x6  1 Si 1.78


Entry 13:
The following is a DFT calculation (PBE-GGA) of crystalline Si3IrN at its relaxed geometry.

Computed properties:
Uncorrected formation energy = 0.347 eV per atom
Magnetization = 0.0 Bohr magnetons per cell
Volume = 12.07 Å³/atom
DFT total energy = -6.3445 eV per atom
Distance to the lowest polymorph of the same formula = 0 meV per atom

abc: 3.9224 3.9224 3.9224
angles: 90.00 90.00 90.00
Last column: nearest neighbours and their distance in Å.
Space group Pm-3m (No. 221)
Asymmetric unit:
Si: 0.0000 0.0000 0.5000 x3  2 N 1.96
Ir: 0.5000 0.5000 0.5000 x1  12 Si 2.77
N: 0.0000 0.0000 0.0000 x1  6 Si 1.96